# 1
VASP calculation (PBE) on crystalline AcDy2ThSb4 at its relaxed geometry.

Computed properties:
Electronic total energy = -5.743 eV/atom
Mass density = 8.1 g/cm3

Cell lengths 4.5216, 7.7801, 7.8505 Å; angles 70.52, 90.00, 90.00 degrees
Positions (direct):
Dy (0.5000, 0.0000, 0.5000)
Th (0.0000, 0.5000, 0.5000)
Sb (0.0000, 0.7677, 0.7359)
Dy (0.0000, 0.0000, 0.0000)
Sb (0.0000, 0.2323, 0.2641)
Ac (0.5000, 0.5000, 0.0000)
Sb (0.5000, 0.7624, 0.2534)
Sb (0.5000, 0.2376, 0.7466)

=====

# 2
VASP calculation (PBE) on crystalline Ac2DyTmSb4 at its relaxed geometry.

Computed properties:
Electronic total energy = -5.357 eV/atom
Mass density = 7.8 g/cm3

Cell lengths 4.5867, 7.9405, 7.9227 Å; angles 109.51, 90.00, 90.00 degrees
Positions (direct):
Ac (0.5000, 0.0000, 0.5000)
Tm (0.0000, 0.0000, 0.0000)
Sb (0.5000, 0.2400, 0.2243)
Dy (0.5000, 0.5000, 0.0000)
Sb (0.0000, 0.7433, 0.2255)
Ac (0.0000, 0.5000, 0.5000)
Sb (0.5000, 0.7600, 0.7757)
Sb (0.0000, 0.2567, 0.7745)

=====

# 3
VASP calculation (PBE) on crystalline AcDy2TmSb4 at its relaxed geometry.

Computed properties:
Electronic total energy = -5.380 eV/atom
Mass density = 7.9 g/cm3

Cell lengths 4.4874, 7.7697, 7.7605 Å; angles 70.58, 90.00, 90.00 degrees
Positions (direct):
Tm (0.0000, 0.5000, 0.5000)
Sb (0.0000, 0.7646, 0.7330)
Sb (0.5000, 0.2446, 0.7401)
Ac (0.5000, 0.5000, 0.0000)
Sb (0.0000, 0.2354, 0.2670)
Dy (0.5000, 0.0000, 0.5000)
Dy (0.0000, 0.0000, 0.0000)
Sb (0.5000, 0.7554, 0.2599)

=====

# 4
VASP calculation (PBE) on crystalline Ac2DySc at its relaxed geometry.

Computed properties:
Excess energy over the best structure of this formula in the dataset = 27.3 meV/atom
E_form = 0.104 eV/atom
Mass density = 7.7 g/cm3

Cell lengths 5.8743, 5.8743, 5.8743 Å; angles 60.00, 60.00, 60.00 degrees
Positions (direct):
Sc (0.5000, 0.5000, 0.5000)
Ac (0.2500, 0.2500, 0.2500)
Dy (0.0000, 0.0000, 0.0000)
Ac (0.7500, 0.7500, 0.7500)

=====

# 5
VASP calculation (PBE) on crystalline Ac2DySc at its relaxed geometry.

Computed properties:
Excess energy over the best structure of this formula in the dataset = 12.2 meV/atom
E_form = 0.089 eV/atom
Mass density = 7.7 g/cm3

Cell lengths 4.7077, 5.5084, 5.5084 Å; angles 90.00, 90.00, 90.00 degrees
Positions (direct):
Dy (0.5000, 0.5000, 0.5000)
Sc (0.5000, 0.0000, 0.0000)
Ac (0.0000, 0.0000, 0.5000)
Ac (0.0000, 0.5000, 0.0000)

=====

# 6
VASP calculation (PBE) on crystalline Ac2DySc at its relaxed geometry.

Computed properties:
Excess energy over the best structure of this formula in the dataset = 255.0 meV/atom
E_form = 0.332 eV/atom
Mass density = 7.5 g/cm3

Cell lengths 3.6556, 3.6556, 12.8997 Å; angles 81.85, 81.85, 60.00 degrees
Positions (direct):
Sc (0.0000, 0.0000, 0.0000)
Dy (0.5000, 0.5000, 0.5000)
Ac (0.9138, 0.9138, 0.2586)
Ac (0.0862, 0.0862, 0.7414)